This record from Alexandria via LeMat-Bulk describes a relaxed Pr2Pd4Pb3 crystal. The functional is GGA-PBE.

Summary:
Calculated formation energy, eV/atom: -0.54
Energy, eV per atom: -5.1419

a = 6.4211 Å, b = 17.1619 Å, c = 7.5538 Å
α = 90.00°, β = 90.00°, γ = 90.00°
Last column: nearest neighbours and their distance in Å.
Space group Cmce (No. 64)
Inequivalent atoms, fractional coordinates:
Pr 0.0000 0.1036 0.0877 [8 per cell]  5 Pd 3.07-3.41, 2 Pb 3.38
Pd 0.0000 0.1629 0.4819 [8 per cell]  5 Pb 2.80-2.92, 2 Pd 3.03
Pd 0.2500 0.0706 0.7500 [8 per cell]  3 Pb 2.76-2.88, 2 Pd 3.03, 2 Pr 3.07
Pb 0.0000 0.0000 0.5000 [4 per cell]  6 Pd 2.76-2.80
Pb 0.2500 0.2382 0.7500 [8 per cell]  5 Pd 2.88-2.92, 2 Pb 3.21